(A)
VASP calculation (GGA-PBEsol) on a geometry-optimized Sr2MgHg structure.

The calculation puts the density at 5.1 g cm⁻³. The spin magnetization is 0.00 μB/cell. For the volume, the calculation gives 32.468 A^3/atom. For the density of states at the Fermi level, the calculation gives 0.71 states/eV per atom.

The space group is P4/mmm (No. 123) and the conventional cell measures 4.002, 4.002 and 8.110 Å, with angles of 90.00, 90.00 and 90.00 degrees. The asymmetric unit holds Sr at (0.000, 0.000, 0.232), Mg at (0.500, 0.500, 0.500) and Hg at (0.500, 0.500, 0.000).


(B)
VASP calculation (GGA-PBEsol) on a geometry-optimized Sr2MgHg structure.

The calculation puts the density at 5.1 g cm⁻³. The spin magnetization is 0.00 μB/cell. For the volume, the calculation gives 32.647 A^3/atom. For the density of states at the Fermi level, the calculation gives 0.82 states/eV per atom.

The space group is I-4m2 (No. 119) and the conventional cell measures 4.901, 4.901 and 10.872 Å, with angles of 90.00, 90.00 and 90.00 degrees. The asymmetric unit holds Sr at (0.000, 0.000, 0.000), Sr at (0.000, 0.500, 0.250), Mg at (0.000, 0.500, 0.750) and Hg at (0.000, 0.000, 0.500).


Here are the energies relative to the best structure, in kJ/mol of atoms: (A) 0.0; (B) 15.9.


(A)
VASP calculation (GGA-PBEsol) on a geometry-optimized Sr2MgHg structure.

The calculation puts the density at 5.1 g cm⁻³. The spin magnetization is 0.00 μB/cell. For the volume, the calculation gives 32.599 A^3/atom. For the density of states at the Fermi level, the calculation gives 0.74 states/eV per atom.

The space group is Imm2 (No. 44) and the conventional cell measures 3.885, 5.734 and 11.707 Å, with angles of 90.00, 90.00 and 90.00 degrees. The asymmetric unit holds Sr at (0.000, 0.000, 0.000), Sr at (0.000, 0.500, 0.199), Mg at (0.000, 0.000, 0.415) and Hg at (0.000, 0.500, 0.733).


(B)
VASP calculation (GGA-PBEsol) on a geometry-optimized Sr2MgHg structure.

The calculation puts the density at 5.2 g cm⁻³. The spin magnetization is 0.00 μB/cell. For the volume, the calculation gives 32.169 A^3/atom. For the density of states at the Fermi level, the calculation gives 0.73 states/eV per atom.

The space group is Fm-3m (No. 225) and the conventional cell measures 8.014, 8.014 and 8.014 Å, with angles of 90.00, 90.00 and 90.00 degrees. The asymmetric unit holds Sr at (0.250, 0.250, 0.250), Mg at (0.000, 0.000, 0.000) and Hg at (0.000, 0.000, 0.500).


Here are the energies relative to the best structure, in kJ/mol of atoms: (A) 1.3; (B) 0.0.


(A)
VASP calculation (GGA-PBEsol) on a geometry-optimized MgTa2Hg structure.

The calculation puts the density at 13.3 g cm⁻³. The spin magnetization is 0.00 μB/cell. For the volume, the calculation gives 18.362 A^3/atom. For the density of states at the Fermi level, the calculation gives 0.80 states/eV per atom.

The space group is C2/m (No. 12) and the conventional cell measures 5.448, 9.810 and 2.865 Å, with angles of 90.00, 106.37 and 90.00 degrees. The asymmetric unit holds Mg at (0.000, 0.000, 0.000), Ta at (0.250, 0.250, 0.500) and Hg at (0.000, 0.500, 0.000).


(B)
VASP calculation (GGA-PBEsol) on a geometry-optimized MgTa2Hg structure.

The calculation puts the density at 13.2 g cm⁻³. The spin magnetization is 0.00 μB/cell. For the volume, the calculation gives 18.467 A^3/atom. For the density of states at the Fermi level, the calculation gives 0.69 states/eV per atom.

The space group is P4/mmm (No. 123) and the conventional cell measures 2.840, 2.840 and 9.158 Å, with angles of 90.00, 90.00 and 90.00 degrees. The asymmetric unit holds Mg at (0.000, 0.000, 0.000), Ta at (0.500, 0.500, 0.252) and Hg at (0.000, 0.000, 0.500).


(C)
VASP calculation (GGA-PBEsol) on a geometry-optimized MgTa2Hg structure.

The calculation puts the density at 13.0 g cm⁻³. The spin magnetization is 0.00 μB/cell. For the volume, the calculation gives 18.679 A^3/atom. For the density of states at the Fermi level, the calculation gives 0.67 states/eV per atom.

The space group is Cm (No. 8) and the conventional cell measures 9.770, 2.889 and 5.365 Å, with angles of 90.00, 99.30 and 90.00 degrees. The asymmetric unit holds Mg at (0.000, 0.000, 0.000), Ta at (0.236, 0.000, 0.689), Ta at (0.499, 0.000, 0.515) and Hg at (0.253, 0.500, 0.200).


(D)
VASP calculation (GGA-PBEsol) on a geometry-optimized MgTa2Hg structure.

The calculation puts the density at 13.2 g cm⁻³. The spin magnetization is 1.21 μB/cell. For the volume, the calculation gives 18.476 A^3/atom. For the density of states at the Fermi level, the calculation gives 1.66 states/eV per atom.

The space group is F-43m (No. 216) and the conventional cell measures 6.662, 6.662 and 6.662 Å, with angles of 90.00, 90.00 and 90.00 degrees. The asymmetric unit holds Mg at (0.000, 0.000, 0.000), Ta at (0.000, 0.000, 0.500), Ta at (0.250, 0.250, 0.750) and Hg at (0.250, 0.250, 0.250).


Here are the energies relative to the best structure, in kJ/mol of atoms: (A) 0.7; (B) 6.0; (C) 0.0; (D) 20.8.


(A)
VASP calculation (GGA-PBEsol) on a geometry-optimized MgTc2Hg structure.

The calculation puts the density at 10.8 g cm⁻³. The spin magnetization is 0.00 μB/cell. For the volume, the calculation gives 16.159 A^3/atom. For the density of states at the Fermi level, the calculation gives 0.63 states/eV per atom.

The space group is C2/m (No. 12) and the conventional cell measures 9.702, 3.039 and 4.487 Å, with angles of 90.00, 102.29 and 90.00 degrees. The asymmetric unit holds Mg at (0.000, 0.000, 0.000), Tc at (0.249, 0.000, 0.776) and Hg at (0.000, 0.500, 0.500).


(B)
VASP calculation (GGA-PBEsol) on a geometry-optimized MgTc2Hg structure.

The calculation puts the density at 10.7 g cm⁻³. The spin magnetization is 0.00 μB/cell. For the volume, the calculation gives 16.335 A^3/atom. For the density of states at the Fermi level, the calculation gives 0.98 states/eV per atom.

The space group is P4/mmm (No. 123) and the conventional cell measures 3.428, 3.428 and 5.559 Å, with angles of 90.00, 90.00 and 90.00 degrees. The asymmetric unit holds Mg at (0.000, 0.000, 0.000), Tc at (0.500, 0.500, 0.210) and Hg at (0.000, 0.000, 0.500).


Here are the energies relative to the best structure, in kJ/mol of atoms: (A) 0.0; (B) 17.8.


(A)
VASP calculation (GGA-PBEsol) on a geometry-optimized MgHgTe2 structure.

The calculation puts the density at 7.6 g cm⁻³. The spin magnetization is 0.00 μB/cell. For the volume, the calculation gives 26.183 A^3/atom. For the density of states at the Fermi level, the calculation gives 0.48 states/eV per atom.

The space group is P2/m (No. 10) and the conventional cell measures 4.890, 3.834 and 5.701 Å, with angles of 90.00, 101.56 and 90.00 degrees. The asymmetric unit holds Mg at (0.000, 0.000, 0.000), Hg at (0.500, 0.500, 0.000), Te at (0.000, 0.500, 0.500) and Te at (0.500, 0.000, 0.500).


(B)
VASP calculation (GGA-PBEsol) on a geometry-optimized MgHgTe2 structure.

The calculation puts the density at 7.7 g cm⁻³. The spin magnetization is 0.00 μB/cell. For the volume, the calculation gives 25.761 A^3/atom. For the density of states at the Fermi level, the calculation gives 0.43 states/eV per atom.

The space group is P4/mmm (No. 123) and the conventional cell measures 3.897, 3.897 and 6.784 Å, with angles of 90.00, 90.00 and 90.00 degrees. The asymmetric unit holds Mg at (0.000, 0.000, 0.000), Hg at (0.000, 0.000, 0.500) and Te at (0.500, 0.500, 0.223).


Here are the energies relative to the best structure, in kJ/mol of atoms: (A) 11.7; (B) 0.0.


(A)
VASP calculation (GGA-PBEsol) on a geometry-optimized MgHgTe2 structure.

The calculation puts the density at 7.7 g cm⁻³. The spin magnetization is 0.00 μB/cell. For the volume, the calculation gives 25.943 A^3/atom. For the density of states at the Fermi level, the calculation gives 0.53 states/eV per atom.

The space group is Immm (No. 71) and the conventional cell measures 3.785, 5.205 and 10.536 Å, with angles of 90.00, 90.00 and 90.00 degrees. The asymmetric unit holds Mg at (0.000, 0.000, 0.000), Hg at (0.000, 0.000, 0.500) and Te at (0.000, 0.500, 0.286).


(B)
VASP calculation (GGA-PBEsol) on a geometry-optimized MgHgTe2 structure.

The calculation puts the density at 7.9 g cm⁻³. The spin magnetization is 0.00 μB/cell. For the volume, the calculation gives 25.350 A^3/atom. For the density of states at the Fermi level, the calculation gives 0.77 states/eV per atom.

The space group is Fm-3m (No. 225) and the conventional cell measures 7.402, 7.402 and 7.402 Å, with angles of 90.00, 90.00 and 90.00 degrees. The asymmetric unit holds Mg at (0.000, 0.000, 0.000), Hg at (0.000, 0.000, 0.500) and Te at (0.250, 0.250, 0.250).


Here are the energies relative to the best structure, in kJ/mol of atoms: (A) 0.0; (B) 5.3.